# 1
Compound: Ba3VBr
Source: Alexandria
Functional: PBE
Structure: relaxed

The space group is Pm-3m (No. 221) and the conventional cell measures 6.261, 6.261 and 6.261 Å, with angles of 90.00, 90.00 and 90.00 degrees. The inequivalent atoms are Ba at (0.000, 0.000, 0.500), V at (0.500, 0.500, 0.500) and Br at (0.000, 0.000, 0.000).

As for the density of states at the Fermi level: 2.112 states/eV/atom. Its magnetization is 1.097 μB/atom. The value obtained for the total energy is -16.039 eV per cell. For the polymorph energy (0 for the lowest one), the calculation gives 0 meV per atom.

***

# 2
Compound: RePtC3
Source: Alexandria
Functional: PBE
Structure: relaxed

The space group is Pm-3m (No. 221) and the conventional cell measures 3.941, 3.941 and 3.941 Å, with angles of 90.00, 90.00 and 90.00 degrees. The inequivalent atoms are Re at (0.000, 0.000, 0.000), Pt at (0.500, 0.500, 0.500) and C at (0.000, 0.500, 0.500).

As for the density of states at the Fermi level: 0.857 states/eV/atom. Its magnetization is 0.000 μB/atom. The value obtained for the total energy is -31.500 eV per cell. The formation enthalpy at 0 K is 1414 kJ/mol of formula units. For the polymorph energy (0 for the lowest one), the calculation gives 899 meV per atom.